Entry 1:
Density functional theory data (GGA-PBE) for a geometry-optimized NaLuCl4 structure.

extended XYZ file:
```
24
Lattice="6.195 0.000 0.000 0.000 15.925 0.000 0.000 0.000 6.570" Properties=species:S:1:pos:R:3 pbc="T T T"
Na 0.000 2.881 1.643
Na 0.000 13.044 4.928
Na 3.097 5.081 4.928
Na 3.097 10.844 1.643
Lu 0.000 6.811 1.643
Lu 0.000 9.115 4.928
Lu 3.097 1.152 4.928
Lu 3.097 14.773 1.643
Cl 1.448 7.176 3.780
Cl 1.448 8.750 0.495
Cl 1.482 5.062 0.640
Cl 1.482 10.863 3.925
Cl 1.615 2.900 3.925
Cl 1.615 13.025 0.640
Cl 1.650 0.787 0.495
Cl 1.650 15.138 3.780
Cl 4.545 0.787 2.790
Cl 4.545 15.138 6.076
Cl 4.579 2.900 5.931
Cl 4.579 13.025 2.646
Cl 4.713 5.062 2.646
Cl 4.713 10.863 5.931
Cl 4.747 7.176 6.076
Cl 4.747 8.750 2.790
```

Results
The calculation puts the magnetization at 0.00 μB per cell. The total energy is -4.328 eV per atom. The crystal system is orthorhombic. The calculation puts the volume at 27.01 Å³/atom.

***

Entry 2:
Density functional theory data (GGA-PBE) for a geometry-optimized ScFeNiAs structure.

extended XYZ file:
```
4
Lattice="0.000 3.000 3.000 3.000 0.000 3.000 3.000 3.000 0.000" Properties=species:S:1:pos:R:3 pbc="T T T"
Sc 0.000 0.000 0.000
Fe 1.500 1.500 1.500
Ni 4.500 4.500 4.500
As 3.000 3.000 3.000
```

Results
The calculation puts the magnetization at 1.81 μB per cell. The total energy is -6.548 eV per atom. The crystal system is cubic. The calculation puts the volume at 13.50 Å³/atom. For the energy relative to the lowest polymorph listed for this composition, the calculation gives 0 meV per atom.

***

Entry 3:
Density functional theory data (GGA-PBE) for a geometry-optimized PaTaMo structure.

extended XYZ file:
```
3
Lattice="0.000 3.200 3.200 3.200 0.000 3.200 3.200 3.200 0.000" Properties=species:S:1:pos:R:3 pbc="T T T"
Pa 0.000 0.000 0.000
Ta 1.600 1.600 1.600
Mo 4.800 4.800 4.800
```

Results
The calculation puts the magnetization at 0.01 μB per cell. The total energy is -9.589 eV per atom. The crystal system is cubic. The calculation puts the volume at 21.84 Å³/atom. For the energy relative to the lowest polymorph listed for this composition, the calculation gives 647 meV per atom. Its calculated formation energy is 1.14 eV/atom.

***

Entry 4:
Density functional theory data (GGA-PBE) for a geometry-optimized Nb2Bi2O5 structure.

extended XYZ file:
```
9
Lattice="4.039 0.000 0.000 0.000 4.039 0.000 0.000 0.000 7.599" Properties=species:S:1:pos:R:3 pbc="T T T"
Nb 0.000 0.000 1.703
Nb 0.000 0.000 5.896
Bi 2.019 2.019 0.000
Bi 2.019 2.019 3.800
O 0.000 0.000 3.800
O 0.000 2.019 2.090
O 0.000 2.019 5.509
O 2.019 0.000 2.090
O 2.019 0.000 5.509
```

Results
The calculation puts the magnetization at 0.02 μB per cell. The total energy is -7.255 eV per atom. The crystal system is tetragonal. The calculation puts the volume at 13.77 Å³/atom. For the energy relative to the lowest polymorph listed for this composition, the calculation gives 0 meV per atom.

***

Entry 5:
Density functional theory data (GGA-PBE) for a geometry-optimized CdTcMo structure.

extended XYZ file:
```
3
Lattice="0.000 3.082 3.082 3.082 0.000 3.082 3.082 3.082 0.000" Properties=species:S:1:pos:R:3 pbc="T T T"
Cd 0.000 0.000 0.000
Tc 1.541 1.541 1.541
Mo 3.082 3.082 3.082
```

Results
The calculation puts the magnetization at 0.03 μB per cell. The total energy is -6.499 eV per atom. The crystal system is cubic. The calculation puts the volume at 19.52 Å³/atom. For the energy relative to the lowest polymorph listed for this composition, the calculation gives 0 meV per atom. Its calculated formation energy is 0.87 eV/atom.

***

Entry 6:
Density functional theory data (GGA-PBE) for a geometry-optimized LaCdGe structure.

extended XYZ file:
```
3
Lattice="0.000 3.596 3.596 3.596 0.000 3.596 3.596 3.596 0.000" Properties=species:S:1:pos:R:3 pbc="T T T"
La 0.000 0.000 0.000
Cd 1.798 1.798 1.798
Ge 5.394 5.394 5.394
```

Results
The calculation puts the magnetization at 0.00 μB per cell. The total energy is -3.586 eV per atom. The crystal system is cubic. The calculation puts the volume at 31.00 Å³/atom.

***

Entry 7:
Density functional theory data (GGA-PBE) for a geometry-optimized PrGdCBr structure.

extended XYZ file:
```
8
Lattice="3.776 0.000 0.000 -1.888 3.270 0.000 0.000 0.000 14.738" Properties=species:S:1:pos:R:3 pbc="T T T"
Pr 0.000 0.000 2.397
Pr 0.000 0.000 12.340
Gd 1.888 1.090 5.093
Gd 1.888 1.090 9.645
C 0.000 2.180 3.868
C 0.000 2.180 10.869
Br 0.000 0.000 7.369
Br 1.888 1.090 0.000
```

Results
The calculation puts the magnetization at 0.00 μB per cell. The total energy is -5.993 eV per atom. The crystal system is hexagonal. The calculation puts the volume at 22.74 Å³/atom.

***

Entry 8:
Density functional theory data (GGA-PBE) for a geometry-optimized SmPaHg structure.

extended XYZ file:
```
3
Lattice="0.000 3.619 3.619 3.619 0.000 3.619 3.619 3.619 0.000" Properties=species:S:1:pos:R:3 pbc="T T T"
Sm 0.000 0.000 0.000
Pa 3.619 3.619 3.619
Hg 5.428 5.428 5.428
```

Results
The calculation puts the magnetization at 2.15 μB per cell. The total energy is -4.392 eV per atom. The crystal system is cubic. The calculation puts the volume at 31.60 Å³/atom. For the energy relative to the lowest polymorph listed for this composition, the calculation gives 0 meV per atom. Its calculated formation energy is 0.44 eV/atom.

***

Entry 9:
Density functional theory data (GGA-PBE) for a geometry-optimized NaPaAsO structure.

extended XYZ file:
```
8
Lattice="4.003 0.000 0.000 0.000 4.003 0.000 0.000 0.000 9.729" Properties=species:S:1:pos:R:3 pbc="T T T"
Na 1.001 3.003 0.000
Na 3.003 1.001 0.000
Pa 1.001 1.001 3.534
Pa 3.003 3.003 6.195
As 1.001 1.001 7.619
As 3.003 3.003 2.110
O 1.001 3.003 4.865
O 3.003 1.001 4.865
```

Results
The calculation puts the magnetization at 1.99 μB per cell. The total energy is -6.375 eV per atom. The crystal system is tetragonal. The calculation puts the volume at 19.49 Å³/atom. For the energy relative to the lowest polymorph listed for this composition, the calculation gives 0 meV per atom.

***

Entry 10:
Density functional theory data (GGA-PBE) for a geometry-optimized LaGdSn structure.

extended XYZ file:
```
9
Lattice="8.653 0.000 0.000 -4.326 7.493 0.000 0.000 0.000 4.396" Properties=species:S:1:pos:R:3 pbc="T T T"
La -1.175 2.035 0.000
La 2.349 0.000 0.000
La 3.152 5.459 0.000
Gd -2.566 4.444 2.198
Gd 1.761 3.049 2.198
Gd 5.131 0.000 2.198
Sn 0.000 0.000 2.198
Sn 0.000 4.996 0.000
Sn 4.326 2.498 0.000
```

Results
The calculation puts the magnetization at 1.34 μB per cell. The total energy is -5.050 eV per atom. The crystal system is hexagonal. The calculation puts the volume at 31.67 Å³/atom. For the energy relative to the lowest polymorph listed for this composition, the calculation gives 97 meV per atom.

***

Entry 11:
Density functional theory data (GGA-PBE) for a geometry-optimized BaFeAuS3 structure.

extended XYZ file:
```
24
Lattice="13.623 0.000 0.000 0.000 3.930 0.000 0.000 0.000 10.164" Properties=species:S:1:pos:R:3 pbc="T T T"
Ba 3.322 0.983 0.653
Ba 3.489 2.948 5.735
Ba 10.134 0.983 4.429
Ba 10.301 2.948 9.511
Fe 0.386 0.983 3.535
Fe 6.426 2.948 8.617
Fe 7.197 0.983 1.548
Fe 13.237 2.948 6.630
Au 0.397 0.983 9.316
Au 6.415 2.948 4.234
Au 7.208 0.983 5.930
Au 13.226 2.948 0.848
S 1.131 0.983 5.757
S 1.461 2.948 8.443
S 1.786 2.948 2.710
S 5.026 0.983 7.792
S 5.350 0.983 3.361
S 5.680 2.948 0.675
S 7.943 0.983 9.489
S 8.273 2.948 6.803
S 8.597 2.948 2.372
S 11.837 0.983 7.454
S 12.162 0.983 1.721
S 12.492 2.948 4.407
```

Results
The calculation puts the magnetization at 18.72 μB per cell. The total energy is -4.953 eV per atom. The crystal system is orthorhombic. The calculation puts the volume at 22.68 Å³/atom. For the energy relative to the lowest polymorph listed for this composition, the calculation gives 0 meV per atom.

***

Entry 12:
Density functional theory data (GGA-PBE) for a geometry-optimized YAgSnS3 structure.

extended XYZ file:
```
24
Lattice="10.519 0.000 0.000 0.000 4.030 0.000 0.000 0.000 13.026" Properties=species:S:1:pos:R:3 pbc="T T T"
Y 0.211 1.007 3.067
Y 5.048 3.022 9.580
Y 5.471 1.007 3.445
Y 10.308 3.022 9.958
Ag 2.469 1.007 9.308
Ag 2.791 3.022 2.795
Ag 7.728 1.007 10.230
Ag 8.050 3.022 3.718
Sn 2.109 3.022 6.349
Sn 3.151 1.007 12.862
Sn 7.368 3.022 0.163
Sn 8.410 1.007 6.676
S 0.325 1.007 8.000
S 0.773 3.022 1.381
S 2.510 3.022 10.957
S 2.750 1.007 4.444
S 4.486 1.007 7.894
S 4.935 3.022 1.487
S 5.584 1.007 11.538
S 6.033 3.022 5.132
S 7.769 3.022 8.581
S 8.009 1.007 2.069
S 9.746 1.007 11.645
S 10.194 3.022 5.025
```

Results
The calculation puts the magnetization at 0.01 μB per cell. The total energy is -5.240 eV per atom. The crystal system is orthorhombic. The calculation puts the volume at 23.01 Å³/atom. For the energy relative to the lowest polymorph listed for this composition, the calculation gives 37 meV per atom.